Entry 1:
First-principles (GGA-PBE) data for BeCuTc after structural relaxation, as listed in Alexandria via LeMat-Bulk.

## Properties
formation enthalpy at 0 K = 42 meV per atom
N(E_F) = 0.6505 states/eV/atom
mass density = 8.222 g/cm3

Cell lengths 2.643, 2.643, 9.862 Å; angles 90.00, 90.00, 90.00 degrees
Space group I4mm (No. 107)
Symmetry-distinct sites (fractional):
Be1 0.000 0.000 0.000 [2 per cell]
Cu1 0.000 0.000 0.363 [2 per cell]
Tc1 0.000 0.000 0.665 [2 per cell]

Entry 2:
First-principles (GGA-PBE) data for DyY2Tm2Sc after structural relaxation, as listed in Alexandria via LeMat-Bulk.

## Properties
formation enthalpy at 0 K = 275 meV per atom
N(E_F) = 1.4844 states/eV/atom
mass density = 6.488 g/cm3

Cell lengths 6.439, 17.333, 3.316 Å; angles 90.00, 90.00, 90.00 degrees
Space group Pnnm (No. 58)
Symmetry-distinct sites (fractional):
Dy1 0.000 0.000 0.000 [2 per cell]
Y1 0.245 0.317 0.000 [4 per cell]
Tm1 0.244 0.145 0.500 [4 per cell]
Sc1 0.000 0.500 0.000 [2 per cell]